! Er6As2SeS3, optimized geometry, DFT PBE; values from VASP
! ΔE_f (raw)	-2077	kJ/mol of formula units
&SYSTEM
  ibrav = 0, nat = 12, ntyp = 4
/
ATOMIC_SPECIES
As 74.92 As.upf
S 32.06 S.upf
Er 167.26 Er.upf
Se 78.96 Se.upf
ATOMIC_POSITIONS crystal
As 0.166 0.331 0.331
As 0.834 0.669 0.669
S 0.500 0.500 0.000
S 0.165 0.834 0.330
S 0.835 0.166 0.670
Er 0.001 0.736 0.002
Er 0.666 0.586 0.333
Er 0.672 0.084 0.344
Er 0.328 0.916 0.656
Er 0.334 0.414 0.667
Er 0.999 0.264 0.998
Se 0.500 0.000 0.000
CELL_PARAMETERS angstrom
3.969 0.000 0.000
0.000 7.926 0.300
-1.985 -2.269 8.344

! Er8AsSe3S4, optimized geometry, DFT PBE; values from VASP
! ΔE_f (raw)	-2817	kJ/mol of formula units
&SYSTEM
  ibrav = 0, nat = 16, ntyp = 4
/
ATOMIC_SPECIES
S 32.06 S.upf
Er 167.26 Er.upf
Se 78.96 Se.upf
As 74.92 As.upf
ATOMIC_POSITIONS crystal
S 0.000 0.000 0.500
S 0.000 0.000 0.000
S 0.500 0.000 0.000
S 0.500 0.000 0.500
Er 0.748 0.230 0.496
Er 0.748 0.230 0.982
Er 0.252 0.770 0.504
Er 0.252 0.770 0.018
Er 0.241 0.222 0.481
Er 0.766 0.770 0.018
Er 0.234 0.230 0.982
Er 0.759 0.778 0.519
Se 0.000 0.500 0.500
Se 0.500 0.500 0.500
Se 0.500 0.500 0.000
As 0.000 0.500 0.000
CELL_PARAMETERS angstrom
7.897 0.000 0.000
0.000 7.944 0.028
-3.949 -3.945 5.587

! Er6AsSe3S2, optimized geometry, DFT PBE; values from VASP
! ΔE_f (raw)	-2064	kJ/mol of formula units
&SYSTEM
  ibrav = 0, nat = 12, ntyp = 4
/
ATOMIC_SPECIES
Er 167.26 Er.upf
Se 78.96 Se.upf
As 74.92 As.upf
S 32.06 S.upf
ATOMIC_POSITIONS crystal
Er 0.736 0.736 0.227
Er 0.924 0.584 0.772
Er 0.584 0.924 0.772
Er 0.416 0.076 0.228
Er 0.076 0.416 0.228
Er 0.264 0.264 0.773
Se 0.165 0.835 0.500
Se 0.835 0.165 0.500
Se 0.500 0.500 0.500
As 0.000 0.000 0.000
S 0.667 0.333 0.000
S 0.333 0.667 0.000
CELL_PARAMETERS angstrom
-4.698 -1.848 -4.653
-1.400 -0.558 6.698
-0.396 6.956 -0.676

! Er8AsSe3S3, optimized geometry, DFT PBE; values from VASP
! ΔE_f (raw)	-2426	kJ/mol of formula units
&SYSTEM
  ibrav = 0, nat = 15, ntyp = 4
/
ATOMIC_SPECIES
Er 167.26 Er.upf
Se 78.96 Se.upf
S 32.06 S.upf
As 74.92 As.upf
ATOMIC_POSITIONS crystal
Er 0.749 0.499 0.262
Er 0.736 0.987 0.738
Er 0.258 0.517 0.275
Er 0.251 0.501 0.738
Er 0.749 0.013 0.262
Er 0.251 0.987 0.738
Er 0.264 0.013 0.262
Er 0.742 0.483 0.725
Se 0.500 0.500 0.000
Se 0.000 0.000 0.000
Se 0.000 0.500 0.000
S 0.000 0.500 0.500
S 0.500 0.500 0.500
S 0.500 0.000 0.500
As 0.000 0.000 0.500
CELL_PARAMETERS angstrom
7.857 0.000 0.000
-3.928 6.804 -0.024
0.000 -4.513 6.513

! Er4AsSeS2, optimized geometry, DFT PBE; values from VASP
! ΔE_f (raw)	-1389	kJ/mol of formula units
&SYSTEM
  ibrav = 0, nat = 8, ntyp = 4
/
ATOMIC_SPECIES
Er 167.26 Er.upf
S 32.06 S.upf
Se 78.96 Se.upf
As 74.92 As.upf
ATOMIC_POSITIONS crystal
Er 0.183 0.183 0.491
Er 0.692 0.692 0.509
Er 0.937 0.437 0.000
Er 0.437 0.937 0.000
S 0.687 0.187 0.500
S 0.187 0.687 0.500
Se 0.437 0.437 0.000
As 0.937 0.937 0.000
CELL_PARAMETERS angstrom
-3.758 2.959 2.916
-4.071 -3.409 -1.787
4.747 -3.105 3.889

! Er6AsSe2S3, optimized geometry, DFT PBE; values from VASP
! ΔE_f (raw)	-2107	kJ/mol of formula units
&SYSTEM
  ibrav = 0, nat = 12, ntyp = 4
/
ATOMIC_SPECIES
Se 78.96 Se.upf
S 32.06 S.upf
Er 167.26 Er.upf
As 74.92 As.upf
ATOMIC_POSITIONS crystal
Se 0.832 0.664 0.663
Se 0.168 0.336 0.337
S 0.168 0.834 0.336
S 0.500 0.500 0.000
S 0.832 0.166 0.664
Er 0.340 0.402 0.680
Er 0.332 0.933 0.665
Er 0.005 0.748 0.009
Er 0.660 0.598 0.320
Er 0.668 0.067 0.335
Er 0.995 0.252 0.991
As 0.500 0.000 0.000
CELL_PARAMETERS angstrom
-3.427 0.553 1.872
-3.935 -1.616 -6.726
2.525 -8.007 2.834